{"formula": "Ce3Fe2Ge3", "functional": "GGA-PBE", "state": "relaxed", "lattice_angstrom": [[-0.852, 3.909, 1.551], [-3.139, 0.694, -3.476], [-4.590, -5.082, 4.351]], "species": ["Ce", "Ce", "Ce", "Fe", "Fe", "Ge", "Ge", "Ge"], "fractional_positions": [[0.167, 0.552, 0.334], [0.833, 0.448, 0.666], [0.000, 0.000, 0.000], [0.209, 0.120, 0.417], [0.791, 0.880, 0.583], [0.641, 0.020, 0.283], [0.500, 0.500, 0.000], [0.359, 0.980, 0.717]], "e_form_kj_per_mol_atoms": -56.4, "final_energy_ev_per_cell": -53.25, "m_tot_mub_per_cell": 0.44, "crystal_system": "monoclinic"}

=====

{"formula": "MgSiTc3", "functional": "GGA-PBE", "state": "relaxed", "lattice_angstrom": [[4.447, 0.000, 0.000], [0.000, 4.447, 0.000], [0.000, 0.000, 4.447]], "species": ["Mg", "Si", "Tc", "Tc", "Tc"], "fractional_positions": [[0.500, 0.500, 0.500], [0.000, 0.000, 0.000], [0.000, 0.500, 0.000], [0.000, 0.000, 0.500], [0.500, 0.000, 0.000]], "final_energy_ev_per_cell": -34.66, "raw_formation_energy_ev_per_atom": 0.691, "m_tot_mub_per_cell": 0.00, "relative_energy_mev_per_atom": 0, "crystal_system": "cubic"}

=====

{"formula": "ScBrN2", "functional": "GGA-PBE", "state": "relaxed", "lattice_angstrom": [[1.924, 0.000, 6.444], [-0.962, 1.666, 6.444], [-0.962, -1.666, 6.444]], "species": ["Sc", "Br", "N", "N"], "fractional_positions": [[0.000, 0.000, 0.000], [0.500, 0.500, 0.500], [0.890, 0.890, 0.890], [0.110, 0.110, 0.110]], "final_energy_ev_per_cell": -19.02, "raw_formation_energy_ev_per_atom": 1.409, "m_tot_mub_per_cell": 0.00, "relative_energy_mev_per_atom": 1343, "crystal_system": "trigonal"}

=====

{"formula": "CaTlAs2", "functional": "GGA-PBE", "state": "relaxed", "lattice_angstrom": [[-5.446, 0.430, 6.104], [-4.842, -3.485, 5.613], [3.993, 0.519, 0.770]], "species": ["As", "As", "Tl", "Ca"], "fractional_positions": [[0.020, 0.020, 0.164], [0.840, 0.840, 0.806], [0.199, 0.199, 0.022], [0.442, 0.442, 0.508]], "e_form_kj_per_mol_atoms": -45.4, "final_energy_ev_per_cell": -15.55, "m_tot_mub_per_cell": 0.00, "relative_energy_mev_per_atom": 26, "crystal_system": "orthorhombic"}

=====

{"formula": "LaYZn", "functional": "GGA-PBE", "state": "relaxed", "lattice_angstrom": [[5.086, 0.000, 0.000], [0.000, 7.121, 0.000], [0.000, 0.000, 10.041]], "species": ["Y", "Y", "Y", "Y", "Zn", "Zn", "Zn", "Zn", "La", "La", "La", "La"], "fractional_positions": [[0.750, 0.973, 0.132], [0.250, 0.473, 0.368], [0.250, 0.027, 0.868], [0.750, 0.527, 0.632], [0.750, 0.716, 0.369], [0.250, 0.216, 0.131], [0.250, 0.284, 0.631], [0.750, 0.784, 0.869], [0.750, 0.464, 0.096], [0.250, 0.964, 0.404], [0.250, 0.536, 0.904], [0.750, 0.036, 0.596]], "e_form_kj_per_mol_atoms": 0.3, "final_energy_ev_per_cell": -50.63, "m_tot_mub_per_cell": 0.00, "relative_energy_mev_per_atom": 204, "crystal_system": "orthorhombic"}

=====

{"formula": "Pm6Mn3S14", "functional": "GGA-PBE", "state": "relaxed", "lattice_angstrom": [[-5.645, -0.062, 1.650], [2.098, -6.877, 6.918], [0.560, 9.698, 2.276]], "species": ["Pm", "Pm", "Pm", "Pm", "Pm", "Pm", "Mn", "Mn", "Mn", "S", "S", "S", "S", "S", "S", "S", "S", "S", "S", "S", "S", "S", "S"], "fractional_positions": [[0.253, 0.809, 0.102], [0.253, 0.898, 0.707], [0.253, 0.293, 0.191], [0.747, 0.526, 0.562], [0.747, 0.438, 0.964], [0.747, 0.036, 0.474], [0.841, 0.000, 0.000], [0.341, 0.333, 0.667], [0.473, 0.667, 0.333], [0.981, 0.088, 0.243], [0.981, 0.757, 0.845], [0.981, 0.155, 0.912], [0.482, 0.243, 0.428], [0.482, 0.572, 0.816], [0.482, 0.184, 0.757], [0.461, 0.000, 0.000], [0.964, 0.333, 0.667], [0.701, 0.758, 0.192], [0.701, 0.808, 0.566], [0.701, 0.434, 0.242], [0.257, 0.580, 0.480], [0.257, 0.520, 0.100], [0.257, 0.900, 0.420]], "final_energy_ev_per_cell": -148.06, "raw_formation_energy_ev_per_atom": -1.489, "m_tot_mub_per_cell": 11.01, "crystal_system": "trigonal"}

=====

{"formula": "CeSmCuIr", "functional": "GGA-PBE", "state": "relaxed", "lattice_angstrom": [[4.971, 0.000, 0.000], [2.486, 4.305, 0.000], [2.486, 1.435, 4.059]], "species": ["Ir", "Ce", "Sm", "Cu"], "fractional_positions": [[0.250, 0.250, 0.250], [0.000, 0.000, 0.000], [0.500, 0.500, 0.500], [0.750, 0.750, 0.750]], "e_form_kj_per_mol_atoms": -41.1, "final_energy_ev_per_cell": -25.31, "m_tot_mub_per_cell": 0.43, "crystal_system": "cubic"}

=====

{"formula": "Pm4GaNiBr2", "functional": "GGA-PBE", "state": "relaxed", "lattice_angstrom": [[-1.434, 3.728, 0.146], [-0.357, -0.429, 7.445], [7.083, 2.794, -1.783]], "species": ["Pm", "Pm", "Pm", "Pm", "Ga", "Ni", "Br", "Br"], "fractional_positions": [[0.500, 0.218, 0.198], [0.500, 0.782, 0.802], [0.000, 0.246, 0.777], [0.000, 0.754, 0.223], [0.500, 0.500, 0.000], [0.000, 0.000, 0.000], [0.500, 0.000, 0.500], [0.000, 0.500, 0.500]], "final_energy_ev_per_cell": -37.69, "raw_formation_energy_ev_per_atom": -0.817, "m_tot_mub_per_cell": 0.00, "crystal_system": "monoclinic"}

=====

{"formula": "CsKCd2Cl6", "functional": "GGA-PBE", "state": "relaxed", "lattice_angstrom": [[7.181, -0.620, -0.644], [1.565, 10.167, -0.052], [1.565, -0.429, 10.158]], "species": ["Cs", "Cs", "K", "K", "Cd", "Cd", "Cd", "Cd", "Cl", "Cl", "Cl", "Cl", "Cl", "Cl", "Cl", "Cl", "Cl", "Cl", "Cl", "Cl"], "fractional_positions": [[0.250, 0.899, 0.101], [0.750, 0.101, 0.899], [0.250, 0.300, 0.700], [0.750, 0.700, 0.300], [0.226, 0.795, 0.622], [0.274, 0.378, 0.205], [0.774, 0.205, 0.378], [0.726, 0.622, 0.795], [0.196, 0.984, 0.776], [0.304, 0.224, 0.016], [0.804, 0.016, 0.224], [0.696, 0.776, 0.984], [0.374, 0.833, 0.407], [0.126, 0.593, 0.167], [0.626, 0.167, 0.593], [0.874, 0.407, 0.833], [0.897, 0.720, 0.597], [0.603, 0.403, 0.280], [0.103, 0.280, 0.403], [0.397, 0.597, 0.720]], "final_energy_ev_per_cell": -58.53, "raw_formation_energy_ev_per_atom": -1.440, "m_tot_mub_per_cell": 0.00, "crystal_system": "monoclinic"}

=====

{"formula": "Li3Cd4Au4", "functional": "GGA-PBE", "state": "relaxed", "lattice_angstrom": [[-1.394, -1.436, -2.323], [0.457, -3.379, 1.810], [-18.217, -3.078, 2.904]], "species": ["Li", "Li", "Li", "Cd", "Cd", "Cd", "Cd", "Au", "Au", "Au", "Au"], "fractional_positions": [[0.173, 0.633, 0.730], [0.827, 0.367, 0.270], [0.000, 0.000, 0.000], [0.438, 0.087, 0.824], [0.392, 0.281, 0.444], [0.608, 0.719, 0.556], [0.562, 0.913, 0.176], [0.708, 0.541, 0.916], [0.292, 0.459, 0.084], [0.139, 0.831, 0.345], [0.861, 0.169, 0.655]], "e_form_kj_per_mol_atoms": -33.8, "final_energy_ev_per_cell": -26.36, "m_tot_mub_per_cell": 0.00, "relative_energy_mev_per_atom": 0, "crystal_system": "triclinic"}

=====

{"formula": "LiFeH", "functional": "GGA-PBE", "state": "relaxed", "lattice_angstrom": [[2.478, 0.000, 0.002], [0.000, 2.581, 0.000], [-0.034, 0.000, 8.460]], "species": ["Li", "Li", "Fe", "Fe", "H", "H"], "fractional_positions": [[0.803, 0.500, 0.447], [0.801, 0.000, 0.168], [0.299, 0.500, 0.900], [0.797, 0.000, 0.709], [0.296, 0.000, 0.564], [0.302, 0.500, 0.272]], "final_energy_ev_per_cell": -27.51, "m_tot_mub_per_cell": 0.90, "crystal_system": "monoclinic"}

=====

Question: Number 5 is which compound?
Answer: LaYZn